(1)
# CsRbAu2I6 | Alexandria via LeMat-Bulk | PBE-GGA | optimized geometry
data_CsRbAu2I6
_chemical_formula_sum 'Cs4 Rb4 Au8 I24'
_space_group_name_H-M_alt 'C 1 2/c 1'
_space_group_IT_number 15
_cell_length_a 13.142
_cell_length_b 14.379
_cell_length_c 12.181
_cell_angle_alpha 90.00
_cell_angle_beta 116.34
_cell_angle_gamma 90.00
loop_
_space_group_symop_operation_xyz
'x,y,z'
'-x,-y,-z'
'-x,y,-z+1/2'
'x,-y,z+1/2'
'x+1/2,y+1/2,z'
'-x+1/2,-y+1/2,-z'
'-x+1/2,y+1/2,-z+1/2'
'x+1/2,-y+1/2,z+1/2'
loop_
_atom_site_label
_atom_site_type_symbol
_atom_site_fract_x
_atom_site_fract_y
_atom_site_fract_z
Cs1 Cs 0.000 0.112 0.250
Rb1 Rb 0.000 0.448 0.750
Au1 Au 0.194 0.116 0.628
I1 I 0.116 0.343 0.155
I2 I 0.123 0.289 0.585
I3 I 0.181 0.059 0.062
# - ΔE_f (raw): -0.61 eV/atom
# - Energy: -94.9 eV per cell

=====

(2)
# Cs2RbAu2I6 | Alexandria via LeMat-Bulk | PBE-GGA | optimized geometry
data_Cs2RbAu2I6
_chemical_formula_sum 'Cs4 Rb2 Au4 I12'
_space_group_name_H-M_alt 'C 1 2/m 1'
_space_group_IT_number 12
_cell_length_a 15.286
_cell_length_b 7.869
_cell_length_c 10.584
_cell_angle_alpha 90.00
_cell_angle_beta 115.31
_cell_angle_gamma 90.00
loop_
_space_group_symop_operation_xyz
'x,y,z'
'-x,-y,-z'
'-x,y,-z'
'x,-y,z'
'x+1/2,y+1/2,z'
'-x+1/2,-y+1/2,-z'
'-x+1/2,y+1/2,-z'
'x+1/2,-y+1/2,z'
loop_
_atom_site_label
_atom_site_type_symbol
_atom_site_fract_x
_atom_site_fract_y
_atom_site_fract_z
Cs1 Cs 0.198 0.000 0.207
Rb1 Rb 0.000 0.000 0.500
Au1 Au 0.046 0.500 0.252
I1 I 0.079 0.235 0.831
I2 I 0.238 0.500 0.385
# - ΔE_f (raw): -0.82 eV/atom
# - Energy: -55.1 eV per cell

=====

(3)
# CsRbAuI | Alexandria via LeMat-Bulk | PBE-GGA | optimized geometry
data_CsRbAuI
_chemical_formula_sum 'Cs4 Rb4 Au4 I4'
_space_group_name_H-M_alt 'F -4 3 m'
_space_group_IT_number 216
_space_group_name_Hall 'F -4 2 3'
_cell_length_a 8.899
_cell_length_b 8.899
_cell_length_c 8.899
_cell_angle_alpha 90.00
_cell_angle_beta 90.00
_cell_angle_gamma 90.00
loop_
_atom_site_label
_atom_site_type_symbol
_atom_site_fract_x
_atom_site_fract_y
_atom_site_fract_z
Cs1 Cs 0.000 0.000 0.000
Rb1 Rb 0.000 0.000 0.500
Au1 Au 0.250 0.250 0.750
I1 I 0.250 0.250 0.250
# - ΔE_f (raw): -0.87 eV/atom
# - Energy: -40.6 eV per cell

=====

(4)
# CsRbAuI | Alexandria via LeMat-Bulk | PBE-GGA | optimized geometry
data_CsRbAuI
_chemical_formula_sum 'Cs3 Rb3 Au3 I3'
_space_group_name_H-M_alt 'R 3 m'
_space_group_IT_number 160
_space_group_name_Hall 'R 3 -2"'
_cell_length_a 5.1454
_cell_length_b 5.1454
_cell_length_c 27.2117
_cell_angle_alpha 90.00
_cell_angle_beta 90.00
_cell_angle_gamma 120.00
loop_
_atom_site_label
_atom_site_type_symbol
_atom_site_fract_x
_atom_site_fract_y
_atom_site_fract_z
Cs1 Cs 0.0000 0.0000 0.0000
Rb1 Rb 0.0000 0.0000 0.8382
Au1 Au 0.0000 0.0000 0.2495
I1 I 0.0000 0.0000 0.4237
# - ΔE_f (raw): -0.88 eV/atom
# - Energy: -30.5 eV per cell

=====

(5)
# CsRbAu2I8 | Alexandria via LeMat-Bulk | PBE-GGA | optimized geometry
data_CsRbAu2I8
_chemical_formula_sum 'Cs2 Rb2 Au4 I16'
_space_group_name_H-M_alt 'I -4'
_space_group_IT_number 82
_cell_length_a 8.533
_cell_length_b 8.533
_cell_length_c 15.812
_cell_angle_alpha 90.00
_cell_angle_beta 90.00
_cell_angle_gamma 90.00
loop_
_space_group_symop_operation_xyz
'x,y,z'
'y,-x,-z'
'-x,-y,z'
'-y,x,-z'
'x+1/2,y+1/2,z+1/2'
'y+1/2,-x+1/2,-z+1/2'
'-x+1/2,-y+1/2,z+1/2'
'-y+1/2,x+1/2,-z+1/2'
loop_
_atom_site_label
_atom_site_type_symbol
_atom_site_fract_x
_atom_site_fract_y
_atom_site_fract_z
Cs1 Cs 0.000 0.000 0.000
Rb1 Rb 0.000 0.500 0.750
Au1 Au 0.000 0.000 0.500
Au2 Au 0.000 0.500 0.250
I1 I 0.054 0.310 0.512
I2 I 0.060 0.809 0.241
# - ΔE_f (raw): -0.53 eV/atom
# - Energy: -54.4 eV per cell

=====

(6)
# Cs2RhAuI | Alexandria via LeMat-Bulk | PBE-GGA | optimized geometry
data_Cs2RhAuI
_chemical_formula_sum 'Cs2 Rh1 Au1 I1'
_space_group_name_H-M_alt 'P 4/m m m'
_space_group_IT_number 123
_space_group_name_Hall '-P 4 2'
_cell_length_a 6.424
_cell_length_b 6.424
_cell_length_c 5.057
_cell_angle_alpha 90.00
_cell_angle_beta 90.00
_cell_angle_gamma 90.00
loop_
_atom_site_label
_atom_site_type_symbol
_atom_site_fract_x
_atom_site_fract_y
_atom_site_fract_z
Cs1 Cs 0.000 0.500 0.000
Rh1 Rh 0.000 0.000 0.000
Au1 Au 0.000 0.000 0.500
I1 I 0.500 0.500 0.500
# - ΔE_f (raw): -0.16 eV/atom
# - Energy: -14.7 eV per cell

=====

(7)
# CsRuAuI6 | Alexandria via LeMat-Bulk | PBE-GGA | optimized geometry
data_CsRuAuI6
_chemical_formula_sum 'Cs1 Ru1 Au1 I6'
_space_group_name_H-M_alt 'P 1'
_space_group_IT_number 1
_cell_length_a 7.209
_cell_length_b 7.231
_cell_length_c 8.509
_cell_angle_alpha 92.93
_cell_angle_beta 93.94
_cell_angle_gamma 112.30
loop_
_space_group_symop_operation_xyz
'x,y,z'
loop_
_atom_site_label
_atom_site_type_symbol
_atom_site_fract_x
_atom_site_fract_y
_atom_site_fract_z
Cs1 Cs 0.000 0.000 0.000
Ru1 Ru 0.389 0.615 0.501
Au1 Au 0.735 0.268 0.501
I1 I 0.104 0.622 0.283
I2 I 0.113 0.327 0.641
I3 I 0.386 0.894 0.722
I4 I 0.436 0.323 0.306
I5 I 0.674 0.893 0.360
I6 I 0.686 0.564 0.695
# - ΔE_f (raw): -0.32 eV/atom
# - Energy: -25.6 eV per cell

=====

(8)
# Cs6AuSI2 | Alexandria via LeMat-Bulk | PBE-GGA | optimized geometry
data_Cs6AuSI2
_chemical_formula_sum 'Cs12 Au2 S2 I4'
_space_group_name_H-M_alt 'C 1 2/m 1'
_space_group_IT_number 12
_cell_length_a 16.479
_cell_length_b 9.806
_cell_length_c 9.361
_cell_angle_alpha 90.00
_cell_angle_beta 124.23
_cell_angle_gamma 90.00
loop_
_space_group_symop_operation_xyz
'x,y,z'
'-x,-y,-z'
'-x,y,-z'
'x,-y,z'
'x+1/2,y+1/2,z'
'-x+1/2,-y+1/2,-z'
'-x+1/2,y+1/2,-z'
'x+1/2,-y+1/2,z'
loop_
_atom_site_label
_atom_site_type_symbol
_atom_site_fract_x
_atom_site_fract_y
_atom_site_fract_z
Cs1 Cs 0.069 0.240 0.329
Cs2 Cs 0.234 0.000 0.867
Au1 Au 0.000 0.500 0.000
S1 S 0.000 0.000 0.500
I1 I 0.247 0.500 0.698
# - ΔE_f (raw): -0.93 eV/atom
# - Energy: -49.9 eV per cell

=====

(9)
# CsSb2AuI | Alexandria via LeMat-Bulk | PBE-GGA | optimized geometry
data_CsSb2AuI
_chemical_formula_sum 'Cs1 Sb2 Au1 I1'
_space_group_name_H-M_alt 'P 4/m m m'
_space_group_IT_number 123
_space_group_name_Hall '-P 4 2'
_cell_length_a 7.636
_cell_length_b 7.636
_cell_length_c 7.200
_cell_angle_alpha 90.00
_cell_angle_beta 90.00
_cell_angle_gamma 90.00
loop_
_atom_site_label
_atom_site_type_symbol
_atom_site_fract_x
_atom_site_fract_y
_atom_site_fract_z
Cs1 Cs 0.000 0.000 0.000
Sb1 Sb 0.000 0.500 0.000
Au1 Au 0.500 0.500 0.500
I1 I 0.000 0.000 0.500
# - ΔE_f (raw): 1.19 eV/atom
# - Energy: -8.0 eV per cell

=====

(10)
# CsSbAuI2 | Alexandria via LeMat-Bulk | PBE-GGA | optimized geometry
data_CsSbAuI2
_chemical_formula_sum 'Cs1 Sb1 Au1 I2'
_space_group_name_H-M_alt 'P 4/m m m'
_space_group_IT_number 123
_space_group_name_Hall '-P 4 2'
_cell_length_a 6.325
_cell_length_b 6.325
_cell_length_c 5.327
_cell_angle_alpha 90.00
_cell_angle_beta 90.00
_cell_angle_gamma 90.00
loop_
_atom_site_label
_atom_site_type_symbol
_atom_site_fract_x
_atom_site_fract_y
_atom_site_fract_z
Cs1 Cs 0.000 0.000 0.000
Sb1 Sb 0.500 0.500 0.500
Au1 Au 0.500 0.500 0.000
I1 I 0.000 0.500 0.500
# - ΔE_f (raw): -0.56 eV/atom
# - Energy: -14.2 eV per cell

=====

(11)
# CsSbAuI2 | Alexandria via LeMat-Bulk | PBE-GGA | optimized geometry
data_CsSbAuI2
_chemical_formula_sum 'Cs1 Sb1 Au1 I2'
_space_group_name_H-M_alt 'P 4/m m m'
_space_group_IT_number 123
_space_group_name_Hall '-P 4 2'
_cell_length_a 6.173
_cell_length_b 6.173
_cell_length_c 5.342
_cell_angle_alpha 90.00
_cell_angle_beta 90.00
_cell_angle_gamma 90.00
loop_
_atom_site_label
_atom_site_type_symbol
_atom_site_fract_x
_atom_site_fract_y
_atom_site_fract_z
Cs1 Cs 0.000 0.000 0.000
Sb1 Sb 0.500 0.500 0.000
Au1 Au 0.500 0.500 0.500
I1 I 0.000 0.500 0.500
# - ΔE_f (raw): -0.29 eV/atom
# - Energy: -12.8 eV per cell

=====

(12)
# CsSbAu2I | Alexandria via LeMat-Bulk | PBE-GGA | optimized geometry
data_CsSbAu2I
_chemical_formula_sum 'Cs1 Sb1 Au2 I1'
_space_group_name_H-M_alt 'P 4/m m m'
_space_group_IT_number 123
_space_group_name_Hall '-P 4 2'
_cell_length_a 5.376
_cell_length_b 5.376
_cell_length_c 6.545
_cell_angle_alpha 90.00
_cell_angle_beta 90.00
_cell_angle_gamma 90.00
loop_
_atom_site_label
_atom_site_type_symbol
_atom_site_fract_x
_atom_site_fract_y
_atom_site_fract_z
Cs1 Cs 0.000 0.000 0.000
Sb1 Sb 0.500 0.500 0.500
Au1 Au 0.000 0.500 0.500
I1 I 0.500 0.500 0.000
# - ΔE_f (raw): -0.36 eV/atom
# - Energy: -14.9 eV per cell

=====

Which calculated volume belongs to each record? In order, 2062.9 1150.9 704.7 624.0 1151.2 208.7 408.0 1250.6 419.8 213.1 203.6 189.1 Å³/cell.